DFT (PBE) results for an optimized crystal structure of Li2VAgS4.

Geometry as CIF:
```
data_Li2VAgS4
_chemical_formula_sum 'Li4 V2 Ag2 S8'
_space_group_name_H-M_alt 'I -4 2 m'
_space_group_IT_number 121
_space_group_name_Hall 'I -4 2'
_cell_length_a 5.642
_cell_length_b 5.642
_cell_length_c 10.724
_cell_angle_alpha 90.00
_cell_angle_beta 90.00
_cell_angle_gamma 90.00
loop_
_atom_site_label
_atom_site_type_symbol
_atom_site_fract_x
_atom_site_fract_y
_atom_site_fract_z
Li1 Li 0.000 0.500 0.250
V1 V 0.000 0.000 0.000
Ag1 Ag 0.000 0.000 0.500
S1 S 0.221 0.221 0.118
```

DFT (PBE) results for an optimized crystal structure of LiAgWS4.

Geometry as CIF:
```
data_LiAgWS4
_chemical_formula_sum 'Li4 Ag4 W4 S16'
_space_group_name_H-M_alt 'C m c m'
_space_group_IT_number 63
_space_group_name_Hall '-C 2c 2'
_cell_length_a 7.311
_cell_length_b 10.971
_cell_length_c 7.941
_cell_angle_alpha 90.00
_cell_angle_beta 90.00
_cell_angle_gamma 90.00
loop_
_atom_site_label
_atom_site_type_symbol
_atom_site_fract_x
_atom_site_fract_y
_atom_site_fract_z
Li1 Li 0.000 0.141 0.250
Ag1 Ag 0.000 0.500 0.000
W1 W 0.000 0.138 0.750
S1 S 0.000 0.254 0.524
S2 S 0.245 0.017 0.750
```

DFT (PBE) results for an optimized crystal structure of Li4Zr3AgS8.

Geometry as CIF:
```
data_Li4Zr3AgS8
_chemical_formula_sum 'Li12 Zr9 Ag3 S24'
_space_group_name_H-M_alt 'R -3 m'
_space_group_IT_number 166
_space_group_name_Hall '-R 3 2"'
_cell_length_a 7.4353
_cell_length_b 7.4353
_cell_length_c 18.4196
_cell_angle_alpha 90.00
_cell_angle_beta 90.00
_cell_angle_gamma 120.00
loop_
_atom_site_label
_atom_site_type_symbol
_atom_site_fract_x
_atom_site_fract_y
_atom_site_fract_z
Li1 Li 0.0000 0.0000 0.0000
Li2 Li 0.0000 0.5000 0.0000
Zr1 Zr 0.0000 0.5000 0.5000
Ag1 Ag 0.0000 0.0000 0.5000
S1 S 0.0000 0.0000 0.2490
S2 S 0.0155 0.5078 0.7507
```

- DOS at the Fermi energy: 0.224 states/eV per atom

DFT (PBE) results for an optimized crystal structure of Li3Zr2AgS6.

Geometry as CIF:
```
data_Li3Zr2AgS6
_chemical_formula_sum 'Li6 Zr4 Ag2 S12'
_space_group_name_H-M_alt 'C 1 2/m 1'
_space_group_IT_number 12
_cell_length_a 16.410
_cell_length_b 3.711
_cell_length_c 7.591
_cell_angle_alpha 90.00
_cell_angle_beta 104.06
_cell_angle_gamma 90.00
loop_
_space_group_symop_operation_xyz
'x,y,z'
'-x,-y,-z'
'-x,y,-z'
'x,-y,z'
'x+1/2,y+1/2,z'
'-x+1/2,-y+1/2,-z'
'-x+1/2,y+1/2,-z'
'x+1/2,-y+1/2,z'
loop_
_atom_site_label
_atom_site_type_symbol
_atom_site_fract_x
_atom_site_fract_y
_atom_site_fract_z
Li1 Li 0.000 0.000 0.000
Li2 Li 0.160 0.500 0.330
Zr1 Zr 0.153 0.500 0.818
Ag1 Ag 0.000 0.000 0.500
S1 S 0.001 0.500 0.764
S2 S 0.171 0.000 0.068
S3 S 0.179 0.000 0.602
```

- DOS at the Fermi energy: 0.001 states/eV per atom

DFT (PBE) results for an optimized crystal structure of Li2ZrAgS4.

Geometry as CIF:
```
data_Li2ZrAgS4
_chemical_formula_sum 'Li4 Zr2 Ag2 S8'
_space_group_name_H-M_alt 'I -4 2 m'
_space_group_IT_number 121
_space_group_name_Hall 'I -4 2'
_cell_length_a 5.840
_cell_length_b 5.840
_cell_length_c 10.911
_cell_angle_alpha 90.00
_cell_angle_beta 90.00
_cell_angle_gamma 90.00
loop_
_atom_site_label
_atom_site_type_symbol
_atom_site_fract_x
_atom_site_fract_y
_atom_site_fract_z
Li1 Li 0.000 0.500 0.250
Zr1 Zr 0.000 0.000 0.000
Ag1 Ag 0.000 0.000 0.500
S1 S 0.242 0.242 0.875
```

- DOS at the Fermi energy: 0.951 states/eV per atom

DFT (PBE) results for an optimized crystal structure of LiAgSb2.

Geometry as CIF:
```
data_LiAgSb2
_chemical_formula_sum 'Li1 Ag1 Sb2'
_space_group_name_H-M_alt 'P 4/m m m'
_space_group_IT_number 123
_space_group_name_Hall '-P 4 2'
_cell_length_a 3.241
_cell_length_b 3.241
_cell_length_c 8.506
_cell_angle_alpha 90.00
_cell_angle_beta 90.00
_cell_angle_gamma 90.00
loop_
_atom_site_label
_atom_site_type_symbol
_atom_site_fract_x
_atom_site_fract_y
_atom_site_fract_z
Li1 Li 0.000 0.000 0.000
Ag1 Ag 0.000 0.000 0.500
Sb1 Sb 0.500 0.500 0.243
```

- DOS at the Fermi energy: 0.243 states/eV per atom
- Energy above the most stable polymorph in this dataset: 52 meV/atom

DFT (PBE) results for an optimized crystal structure of Li3Ag4Sb2.

Geometry as CIF:
```
data_Li3Ag4Sb2
_chemical_formula_sum 'Li6 Ag8 Sb4'
_space_group_name_H-M_alt 'C 1 2/m 1'
_space_group_IT_number 12
_cell_length_a 8.896
_cell_length_b 4.374
_cell_length_c 8.807
_cell_angle_alpha 90.00
_cell_angle_beta 101.37
_cell_angle_gamma 90.00
loop_
_space_group_symop_operation_xyz
'x,y,z'
'-x,-y,-z'
'-x,y,-z'
'x,-y,z'
'x+1/2,y+1/2,z'
'-x+1/2,-y+1/2,-z'
'-x+1/2,y+1/2,-z'
'x+1/2,-y+1/2,z'
loop_
_atom_site_label
_atom_site_type_symbol
_atom_site_fract_x
_atom_site_fract_y
_atom_site_fract_z
Li1 Li 0.000 0.000 0.000
Li2 Li 0.174 0.500 0.564
Ag1 Ag 0.009 0.000 0.660
Ag2 Ag 0.172 0.500 0.895
Sb1 Sb 0.159 0.500 0.227
```

- DOS at the Fermi energy: 0.206 states/eV per atom
- Energy above the most stable polymorph in this dataset: 0 meV/atom

DFT (PBE) results for an optimized crystal structure of Li4AgSb2.

Geometry as CIF:
```
data_Li4AgSb2
_chemical_formula_sum 'Li12 Ag3 Sb6'
_space_group_name_H-M_alt 'R -3 m'
_space_group_IT_number 166
_space_group_name_Hall '-R 3 2"'
_cell_length_a 4.6299
_cell_length_b 4.6299
_cell_length_c 22.5257
_cell_angle_alpha 90.00
_cell_angle_beta 90.00
_cell_angle_gamma 120.00
loop_
_atom_site_label
_atom_site_type_symbol
_atom_site_fract_x
_atom_site_fract_y
_atom_site_fract_z
Li1 Li 0.0000 0.0000 0.1220
Li2 Li 0.0000 0.0000 0.3728
Ag1 Ag 0.0000 0.0000 0.5000
Sb1 Sb 0.0000 0.0000 0.2473
```

- DOS at the Fermi energy: 0.399 states/eV per atom

DFT (PBE) results for an optimized crystal structure of LiAgSb2.

Geometry as CIF:
```
data_LiAgSb2
_chemical_formula_sum 'Li3 Ag3 Sb6'
_space_group_name_H-M_alt 'R 3 m'
_space_group_IT_number 160
_space_group_name_Hall 'R 3 -2"'
_cell_length_a 3.2982
_cell_length_b 3.2982
_cell_length_c 28.8838
_cell_angle_alpha 90.00
_cell_angle_beta 90.00
_cell_angle_gamma 120.00
loop_
_atom_site_label
_atom_site_type_symbol
_atom_site_fract_x
_atom_site_fract_y
_atom_site_fract_z
Li1 Li 0.0000 0.0000 0.0000
Ag1 Ag 0.0000 0.0000 0.2608
Sb1 Sb 0.0000 0.0000 0.5104
Sb2 Sb 0.0000 0.0000 0.7467
```

- DOS at the Fermi energy: 0.500 states/eV per atom
- Energy above the most stable polymorph in this dataset: 220 meV/atom

DFT (PBE) results for an optimized crystal structure of Li3Ag2Sb.

Geometry as CIF:
```
data_Li3Ag2Sb
_chemical_formula_sum 'Li6 Ag4 Sb2'
_space_group_name_H-M_alt 'P -3 m 1'
_space_group_IT_number 164
_space_group_name_Hall '-P 3 2"'
_cell_length_a 4.6088
_cell_length_b 4.6088
_cell_length_c 11.1955
_cell_angle_alpha 90.00
_cell_angle_beta 90.00
_cell_angle_gamma 120.00
loop_
_atom_site_label
_atom_site_type_symbol
_atom_site_fract_x
_atom_site_fract_y
_atom_site_fract_z
Li1 Li 0.0000 0.0000 0.2480
Li2 Li 0.3333 0.6667 0.4153
Li3 Li 0.3333 0.6667 0.9195
Ag1 Ag 0.0000 0.0000 0.0000
Ag2 Ag 0.0000 0.0000 0.5000
Ag3 Ag 0.3333 0.6667 0.1609
Sb1 Sb 0.3333 0.6667 0.6712
```

- DOS at the Fermi energy: 0.174 states/eV per atom

DFT (PBE) results for an optimized crystal structure of Li4Ag3Sb2.

Geometry as CIF:
```
data_Li4Ag3Sb2
_chemical_formula_sum 'Li8 Ag6 Sb4'
_space_group_name_H-M_alt 'C 1 2/m 1'
_space_group_IT_number 12
_cell_length_a 8.992
_cell_length_b 4.363
_cell_length_c 8.721
_cell_angle_alpha 90.00
_cell_angle_beta 106.34
_cell_angle_gamma 90.00
loop_
_space_group_symop_operation_xyz
'x,y,z'
'-x,-y,-z'
'-x,y,-z'
'x,-y,z'
'x+1/2,y+1/2,z'
'-x+1/2,-y+1/2,-z'
'-x+1/2,y+1/2,-z'
'x+1/2,-y+1/2,z'
loop_
_atom_site_label
_atom_site_type_symbol
_atom_site_fract_x
_atom_site_fract_y
_atom_site_fract_z
Li1 Li 0.012 0.000 0.334
Li2 Li 0.158 0.500 0.882
Ag1 Ag 0.000 0.000 0.000
Ag2 Ag 0.163 0.500 0.550
Sb1 Sb 0.182 0.500 0.221
```

- DOS at the Fermi energy: 0.184 states/eV per atom

DFT (PBE) results for an optimized crystal structure of LiAg2Sb.

Geometry as CIF:
```
data_LiAg2Sb
_chemical_formula_sum 'Li4 Ag8 Sb4'
_space_group_name_H-M_alt 'I -4 2 d'
_space_group_IT_number 122
_space_group_name_Hall 'I -4 2bw'
_cell_length_a 4.172
_cell_length_b 4.172
_cell_length_c 19.296
_cell_angle_alpha 90.00
_cell_angle_beta 90.00
_cell_angle_gamma 90.00
loop_
_atom_site_label
_atom_site_type_symbol
_atom_site_fract_x
_atom_site_fract_y
_atom_site_fract_z
Li1 Li 0.000 0.000 0.000
Ag1 Ag 0.249 0.250 0.125
Sb1 Sb 0.000 0.000 0.500
```

- DOS at the Fermi energy: 0.371 states/eV per atom

The calculation returns the following V values, one per record and in order: 21.3, 22.7, 18.4, 18.7, 23.3, 22.3, 18.7, 19.9, 22.7, 17.2, 18.2, 21.0 Å³ per atom.
The calculation returns the following raw formation energy values, one per record and in order: -0.843, -0.542, -1.326, -1.270, -0.930, -0.103, -0.261, -0.436, 0.065, -0.353, -0.344, -0.025 eV per atom.